Entry 1:
A plane-wave DFT calculation with GGA-PBE was carried out for a relaxed structure of CsCaNi2Ru.

```
CsCaNi2Ru
1.0
5.0982 0.0000 0.0000
0.0000 5.0400 0.0000
0.0000 0.0000 5.0982
Ni Ru Ca Cs
2 1 1 1
direct
0.5000 0.0000 0.0000 Ni
0.0000 0.0000 0.5000 Ni
0.0000 0.5000 0.0000 Ru
0.0000 0.0000 0.0000 Ca
0.5000 0.5000 0.5000 Cs
```

Density of states at the Fermi level = 8.503 states/eV per cell
Volume = 26.20 Å³/atom
Electronic total energy = -3.15 eV per atom



Entry 2:
A plane-wave DFT calculation with GGA-PBE was carried out for a relaxed structure of Rb2ZrSnS4.

```
Rb2ZrSnS4
1.0
-5.0793 0.8169 -4.9447
-6.6905 -4.4128 0.9951
-7.1697 8.8140 3.6724
Zr S Sn Rb
2 8 2 4
direct
0.7500 0.5000 0.5000 Zr
0.0000 0.0000 0.0000 Zr
0.4995 0.6897 0.3873 S
0.6368 0.1897 0.1127 S
0.5764 0.3103 0.6127 S
0.8109 0.6897 0.6127 S
0.2505 0.8103 0.1127 S
0.1132 0.3103 0.3873 S
0.9391 0.8103 0.8873 S
0.1736 0.1897 0.8873 S
0.2500 0.5000 0.5000 Sn
0.5000 0.0000 0.0000 Sn
0.1840 0.0000 0.6321 Rb
0.8160 0.0000 0.3679 Rb
0.9340 0.5000 0.1321 Rb
0.5660 0.5000 0.8679 Rb
```

Formation energy (no corrections) = -1.100 eV/atom
Density of states at the Fermi level = 0.000 states/eV per cell
Volume = 36.82 Å³/atom
Electronic total energy = -4.97 eV per atom



Entry 3:
A plane-wave DFT calculation with GGA-PBE was carried out for a relaxed structure of NaRuO2.

```
NaRuO2
1.0
5.6275 0.0000 0.0000
4.7643 2.9951 0.0000
4.7643 1.3732 2.6618
Na O Ru
1 2 1
direct
0.0000 0.0000 0.0000 Na
0.2354 0.2354 0.2354 O
0.7646 0.7646 0.7646 O
0.5000 0.5000 0.5000 Ru
```

Formation energy (no corrections) = -1.062 eV/atom
Density of states at the Fermi level = 3.827 states/eV per cell
Volume = 11.22 Å³/atom
Electronic total energy = -6.19 eV per atom



Entry 4:
A plane-wave DFT calculation with GGA-PBE was carried out for a relaxed structure of NdDyZnAg.

```
NdDyZnAg
1.0
5.1867 0.0000 0.0000
2.5934 4.4918 0.0000
2.5934 1.4973 4.2350
Nd Zn Dy Ag
1 1 1 1
direct
0.5000 0.5000 0.5000 Nd
0.7500 0.7500 0.7500 Zn
0.0000 0.0000 0.0000 Dy
0.2500 0.2500 0.2500 Ag
```

Density of states at the Fermi level = 2.892 states/eV per cell
Volume = 24.67 Å³/atom
Distance to the lowest polymorph of the same formula = 19 meV per atom
Electronic total energy = -3.67 eV per atom